The following is a DFT calculation (PBE-GGA) of crystalline Y2ZrPd2 at its relaxed geometry.

As for the energy relative to the elements: -0.35 eV/atom. The calculation puts the density of states at the Fermi level at 1.101 states/eV/atom. As for the density: 7.14 Mg/m³. For the energy above the most stable polymorph in this dataset, the calculation gives 0.2495 eV per atom. The calculation puts the volume at 22.414 A^3/atom.

a = 8.3419 Å, b = 8.3419 Å, c = 3.2210 Å
α = 90.00°, β = 90.00°, γ = 90.00°
Closest atoms and distances in Å follow each position.
Fractional positions:
Y 0.1467 0.3533 0.0000  6 Pd 2.86-2.98, 2 Zr 3.19
Y 0.3533 0.8533 0.0000  6 Pd 2.86-2.98, 2 Zr 3.19
Y 0.6467 0.1467 0.0000  6 Pd 2.86-2.98, 2 Zr 3.19
Y 0.8533 0.6467 0.0000  6 Pd 2.86-2.98, 2 Zr 3.19
Zr 0.0000 0.0000 0.0000  4 Y 3.19, 2 Zr 3.22, 8 Pd 3.55
Zr 0.5000 0.5000 0.0000  4 Y 3.19, 2 Zr 3.22, 8 Pd 3.55
Pd 0.1533 0.6533 0.5000  6 Y 2.86-2.98
Pd 0.3467 0.1533 0.5000  6 Y 2.86-2.98
Pd 0.6533 0.8467 0.5000  6 Y 2.86-2.98
Pd 0.8467 0.3467 0.5000  6 Y 2.86-2.98


The following is a DFT calculation (PBE-GGA) of crystalline YZrPd4 at its relaxed geometry.

As for the energy relative to the elements: -0.76 eV/atom. The calculation puts the density of states at the Fermi level at 0.440 states/eV/atom. As for the density: 9.22 Mg/m³. The calculation puts the volume at 18.182 A^3/atom.

a = 6.7810 Å, b = 6.7810 Å, c = 8.1099 Å
α = 90.00°, β = 90.00°, γ = 144.19°
Closest atoms and distances in Å follow each position.
Fractional positions:
Y 0.0151 0.9849 0.7500  10 Pd 2.86-3.02
Y 0.9849 0.0151 0.2500  10 Pd 2.86-3.02
Zr 0.3084 0.6916 0.7500  8 Pd 2.77-2.83
Zr 0.6916 0.3084 0.2500  8 Pd 2.77-2.83
Pd 0.1670 0.8330 0.0170  3 Zr 2.83, 7 Pd 2.85-3.01, 2 Y 2.92-3.02
Pd 0.1670 0.8330 0.4830  3 Zr 2.83, 7 Pd 2.85-3.01, 2 Y 2.92-3.02
Pd 0.3328 0.6672 0.2500  2 Zr 2.77, 8 Pd 2.85-3.01, 2 Y 2.86
Pd 0.5000 0.5000 0.0000  4 Y 2.91, 6 Pd 2.96-3.00, 2 Zr 3.20
Pd 0.5000 0.5000 0.5000  4 Y 2.91, 6 Pd 2.96-3.00, 2 Zr 3.20
Pd 0.6672 0.3328 0.7500  2 Zr 2.77, 8 Pd 2.85-3.01, 2 Y 2.86
Pd 0.8330 0.1670 0.5170  3 Zr 2.83, 7 Pd 2.85-3.01, 2 Y 2.92-3.02
Pd 0.8330 0.1670 0.9830  3 Zr 2.83, 7 Pd 2.85-3.01, 2 Y 2.92-3.02


The following is a DFT calculation (PBE-GGA) of crystalline YZr3Pd at its relaxed geometry.

As for the energy relative to the elements: 0.27 eV/atom. The calculation puts the density of states at the Fermi level at 1.528 states/eV/atom. As for the density: 5.74 Mg/m³. For the energy above the most stable polymorph in this dataset, the calculation gives 0.0000 eV per atom. The calculation puts the volume at 27.155 A^3/atom.

a = 5.1397 Å, b = 5.1397 Å, c = 5.1397 Å
α = 90.00°, β = 90.00°, γ = 90.00°
Closest atoms and distances in Å follow each position.
Fractional positions:
Y 0.0000 0.0000 0.0000  12 Zr 3.63
Zr 0.0000 0.5000 0.5000  2 Pd 2.57
Zr 0.5000 0.0000 0.5000  2 Pd 2.57
Zr 0.5000 0.5000 0.0000  2 Pd 2.57
Pd 0.5000 0.5000 0.5000  6 Zr 2.57


The following is a DFT calculation (PBE-GGA) of crystalline YZrPd2 at its relaxed geometry.

As for the energy relative to the elements: 0.08 eV/atom. The calculation puts the density of states at the Fermi level at 0.560 states/eV/atom. As for the density: 7.63 Mg/m³. The calculation puts the volume at 21.386 A^3/atom.

a = 3.0504 Å, b = 5.3292 Å, c = 10.5245 Å
α = 90.00°, β = 90.00°, γ = 90.00°
Closest atoms and distances in Å follow each position.
Fractional positions:
Y 0.0000 0.0000 0.0000  2 Pd 2.72
Y 0.5000 0.5000 0.5000  2 Pd 2.72
Zr 0.0000 0.0000 0.5000  2 Pd 2.54
Zr 0.5000 0.5000 0.0000  2 Pd 2.54
Pd 0.0000 0.0000 0.2586  1 Zr 2.54, 1 Y 2.72
Pd 0.0000 0.0000 0.7414  1 Zr 2.54, 1 Y 2.72
Pd 0.5000 0.5000 0.2414  1 Zr 2.54, 1 Y 2.72
Pd 0.5000 0.5000 0.7586  1 Zr 2.54, 1 Y 2.72


The following is a DFT calculation (PBE-GGA) of crystalline Y2ZrPd2 at its relaxed geometry.

As for the energy relative to the elements: -0.19 eV/atom. The calculation puts the density of states at the Fermi level at 0.775 states/eV/atom. As for the density: 6.50 Mg/m³. For the energy above the most stable polymorph in this dataset, the calculation gives 0.4148 eV per atom. The calculation puts the volume at 24.609 A^3/atom.

a = 4.6181 Å, b = 4.6181 Å, c = 11.5390 Å
α = 90.00°, β = 90.00°, γ = 90.00°
Closest atoms and distances in Å follow each position.
Fractional positions:
Y 0.0000 0.5000 0.2500  4 Pd 2.82
Y 0.0000 0.5000 0.7500  4 Pd 2.82
Y 0.5000 0.0000 0.2500  4 Pd 2.82
Y 0.5000 0.0000 0.7500  4 Pd 2.82
Zr 0.0000 0.0000 0.0000  8 Pd 3.50, 8 Y 3.70
Zr 0.5000 0.5000 0.5000  8 Pd 3.50, 8 Y 3.70
Pd 0.0000 0.0000 0.3909  1 Pd 2.52
Pd 0.0000 0.0000 0.6091  1 Pd 2.52
Pd 0.5000 0.5000 0.1091  1 Pd 2.52
Pd 0.5000 0.5000 0.8909  1 Pd 2.52


The following is a DFT calculation (PBE-GGA) of crystalline Y3ZrPd at its relaxed geometry.

As for the energy relative to the elements: 0.11 eV/atom. The calculation puts the density of states at the Fermi level at 1.245 states/eV/atom. As for the density: 4.92 Mg/m³. For the energy above the most stable polymorph in this dataset, the calculation gives 0.0000 eV per atom. The calculation puts the volume at 31.373 A^3/atom.

a = 5.3931 Å, b = 5.3931 Å, c = 5.3931 Å
α = 90.00°, β = 90.00°, γ = 90.00°
Closest atoms and distances in Å follow each position.
Fractional positions:
Y 0.0000 0.0000 0.5000  2 Pd 2.70
Y 0.0000 0.5000 0.0000  2 Pd 2.70
Y 0.5000 0.0000 0.0000  2 Pd 2.70
Zr 0.5000 0.5000 0.5000  12 Y 3.81
Pd 0.0000 0.0000 0.0000  6 Y 2.70


The following is a DFT calculation (PBE-GGA) of crystalline YZrPd5 at its relaxed geometry.

As for the energy relative to the elements: -0.62 eV/atom. The calculation puts the density of states at the Fermi level at 0.465 states/eV/atom. As for the density: 8.96 Mg/m³. The calculation puts the volume at 18.858 A^3/atom.

a = 4.0455 Å, b = 4.0455 Å, c = 8.0661 Å
α = 90.00°, β = 90.00°, γ = 90.00°
Closest atoms and distances in Å follow each position.
Fractional positions:
Y 0.0000 0.0000 0.0000  12 Pd 2.86-2.98
Zr 0.5000 0.5000 0.5000  8 Pd 2.74
Pd 0.0000 0.5000 0.2713  2 Zr 2.74, 6 Pd 2.86-2.98, 2 Y 2.98
Pd 0.0000 0.5000 0.7287  2 Zr 2.74, 6 Pd 2.86-2.98, 2 Y 2.98
Pd 0.5000 0.0000 0.2713  2 Zr 2.74, 6 Pd 2.86-2.98, 2 Y 2.98
Pd 0.5000 0.0000 0.7287  2 Zr 2.74, 6 Pd 2.86-2.98, 2 Y 2.98
Pd 0.5000 0.5000 0.0000  4 Y 2.86, 8 Pd 2.98


The following is a DFT calculation (PBE-GGA) of crystalline YZrPd6 at its relaxed geometry.

As for the energy relative to the elements: -0.85 eV/atom. The calculation puts the density of states at the Fermi level at 0.416 states/eV/atom. As for the density: 10.00 Mg/m³. The calculation puts the volume at 16.999 A^3/atom.

a = 4.0806 Å, b = 4.0806 Å, c = 8.1669 Å
α = 90.00°, β = 90.00°, γ = 90.00°
Closest atoms and distances in Å follow each position.
Fractional positions:
Y 0.0000 0.0000 0.0000  12 Pd 2.89-2.94
Zr 0.0000 0.0000 0.5000  12 Pd 2.83-2.89
Pd 0.0000 0.5000 0.2593  2 Zr 2.83, 8 Pd 2.83-2.94, 2 Y 2.94
Pd 0.0000 0.5000 0.7407  2 Zr 2.83, 8 Pd 2.83-2.94, 2 Y 2.94
Pd 0.5000 0.0000 0.2593  2 Zr 2.83, 8 Pd 2.83-2.94, 2 Y 2.94
Pd 0.5000 0.0000 0.7407  2 Zr 2.83, 8 Pd 2.83-2.94, 2 Y 2.94
Pd 0.5000 0.5000 0.0000  4 Y 2.89, 8 Pd 2.94
Pd 0.5000 0.5000 0.5000  8 Pd 2.83, 4 Zr 2.89


The following is a DFT calculation (PBE-GGA) of crystalline Y3ZrPd at its relaxed geometry.

As for the energy relative to the elements: 0.72 eV/atom. The calculation puts the density of states at the Fermi level at 0.568 states/eV/atom. As for the density: 4.88 Mg/m³. For the energy above the most stable polymorph in this dataset, the calculation gives 0.6110 eV per atom. The calculation puts the volume at 31.610 A^3/atom.

a = 5.4067 Å, b = 5.4067 Å, c = 5.4067 Å
α = 90.00°, β = 90.00°, γ = 90.00°
Closest atoms and distances in Å follow each position.
Fractional positions:
Y 0.0000 0.0000 0.5000  2 Zr 2.70
Y 0.0000 0.5000 0.0000  2 Zr 2.70
Y 0.5000 0.0000 0.0000  2 Zr 2.70
Zr 0.0000 0.0000 0.0000  6 Y 2.70
Pd 0.5000 0.5000 0.5000  12 Y 3.82


The following is a DFT calculation (PBE-GGA) of crystalline Y2ZrPd2 at its relaxed geometry.

As for the energy relative to the elements: -0.60 eV/atom. The calculation puts the density of states at the Fermi level at 1.541 states/eV/atom. As for the density: 7.01 Mg/m³. For the energy above the most stable polymorph in this dataset, the calculation gives 0.0000 eV per atom. The calculation puts the volume at 22.841 A^3/atom.

a = 7.6534 Å, b = 7.6534 Å, c = 3.8995 Å
α = 90.00°, β = 90.00°, γ = 90.00°
Closest atoms and distances in Å follow each position.
Fractional positions:
Y 0.1695 0.3305 0.0000  6 Pd 2.90-3.03
Y 0.3305 0.8305 0.0000  6 Pd 2.90-3.03
Y 0.6695 0.1695 0.0000  6 Pd 2.90-3.03
Y 0.8305 0.6695 0.0000  6 Pd 2.90-3.03
Zr 0.0000 0.0000 0.5000  4 Pd 2.99
Zr 0.5000 0.5000 0.5000  4 Pd 2.99
Pd 0.1316 0.6316 0.5000  1 Pd 2.85, 6 Y 2.90-3.03, 2 Zr 2.99
Pd 0.3684 0.1316 0.5000  1 Pd 2.85, 6 Y 2.90-3.03, 2 Zr 2.99
Pd 0.6316 0.8684 0.5000  1 Pd 2.85, 6 Y 2.90-3.03, 2 Zr 2.99
Pd 0.8684 0.3684 0.5000  1 Pd 2.85, 6 Y 2.90-3.03, 2 Zr 2.99


The following is a DFT calculation (PBE-GGA) of crystalline Y3ZrPd12 at its relaxed geometry.

As for the energy relative to the elements: -0.85 eV/atom. The calculation puts the density of states at the Fermi level at 0.476 states/eV/atom. As for the density: 9.79 Mg/m³. The calculation puts the volume at 17.339 A^3/atom.

a = 4.1087 Å, b = 4.1087 Å, c = 16.4336 Å
α = 90.00°, β = 90.00°, γ = 90.00°
Closest atoms and distances in Å follow each position.
Fractional positions:
Y 0.0000 0.0000 0.0000  12 Pd 2.91-2.93
Y 0.0000 0.0000 0.2527  12 Pd 2.91-2.95
Y 0.0000 0.0000 0.7473  12 Pd 2.91-2.95
Zr 0.0000 0.0000 0.5000  12 Pd 2.83-2.91
Pd 0.0000 0.5000 0.1271  8 Pd 2.91-2.93, 4 Y 2.91-2.93
Pd 0.0000 0.5000 0.3817  8 Pd 2.83-2.93, 2 Zr 2.83, 2 Y 2.95
Pd 0.0000 0.5000 0.6183  2 Zr 2.83, 8 Pd 2.83-2.93, 2 Y 2.95
Pd 0.0000 0.5000 0.8729  8 Pd 2.91-2.93, 4 Y 2.91-2.93
Pd 0.5000 0.0000 0.1271  8 Pd 2.91-2.93, 4 Y 2.91-2.93
Pd 0.5000 0.0000 0.3817  8 Pd 2.83-2.93, 2 Zr 2.83, 2 Y 2.95
Pd 0.5000 0.0000 0.6183  2 Zr 2.83, 8 Pd 2.83-2.93, 2 Y 2.95
Pd 0.5000 0.0000 0.8729  8 Pd 2.91-2.93, 4 Y 2.91-2.93
Pd 0.5000 0.5000 0.0000  4 Y 2.91, 8 Pd 2.93
Pd 0.5000 0.5000 0.2543  4 Y 2.91, 8 Pd 2.93
Pd 0.5000 0.5000 0.5000  8 Pd 2.83, 4 Zr 2.91
Pd 0.5000 0.5000 0.7457  4 Y 2.91, 8 Pd 2.93


The following is a DFT calculation (PBE-GGA) of crystalline YZrPd2 at its relaxed geometry.

As for the energy relative to the elements: -0.71 eV/atom. The calculation puts the density of states at the Fermi level at 1.174 states/eV/atom. As for the density: 7.95 Mg/m³. The calculation puts the volume at 20.521 A^3/atom.

a = 3.4320 Å, b = 3.4320 Å, c = 6.9689 Å
α = 90.00°, β = 90.00°, γ = 90.00°
Closest atoms and distances in Å follow each position.
Fractional positions:
Y 0.0000 0.0000 0.0000  8 Pd 3.12, 4 Y 3.43, 2 Zr 3.48
Zr 0.0000 0.0000 0.5000  8 Pd 2.87
Pd 0.5000 0.5000 0.2811  4 Zr 2.87, 1 Pd 3.05, 4 Y 3.12
Pd 0.5000 0.5000 0.7189  4 Zr 2.87, 1 Pd 3.05, 4 Y 3.12